Model one:
Crystalline BC2 at its relaxed geometry, computed with PBE.

extended XYZ file:
```
12
Lattice="2.299 -4.006 0.000 2.299 4.006 0.000 -1.272 0.000 4.179" Properties=species:S:1:pos:R:3 pbc="T T T"
B -0.191 0.726 2.005
B -0.827 -0.726 4.094
B 4.152 0.726 0.085
B 3.516 -0.726 2.175
C 1.912 1.944 0.245
C 2.049 1.944 1.845
C 1.341 0.656 2.362
C 1.348 0.656 3.907
C 1.977 -0.656 0.273
C 1.984 -0.656 1.817
C 1.276 -1.944 2.334
C 1.413 -1.944 3.935
```

- Crystal system: monoclinic
- SG: No. 15

***

Model two:
Crystalline BC2 at its relaxed geometry, computed with PBE.

extended XYZ file:
```
12
Lattice="6.520 -1.282 0.000 6.520 1.282 0.000 -1.374 0.000 4.491" Properties=species:S:1:pos:R:3 pbc="T T T"
B 0.840 0.000 1.805
B 2.490 0.000 2.775
B 9.175 0.000 1.716
B 10.826 0.000 2.686
C 0.744 0.000 0.181
C 2.279 0.000 4.297
C 5.084 0.000 0.407
C 5.137 0.000 1.961
C 6.528 0.000 2.530
C 6.581 0.000 4.084
C 9.386 0.000 0.194
C 10.921 0.000 4.310
```

- Crystal system: monoclinic
- SG: No. 12

***

Ranking the structures above by stability puts model two first and model one last.